## KNiSnF6 (GGA+U)

Data for KNiSnF6 after structural relaxation.

Cell: 5.661 5.661 11.191 Å, 90.00 90.00 120.00°
Atoms (fractional coordinates):
K (0.000, 0.000, 0.000)
K (0.000, 0.000, 0.500)
Ni (0.333, 0.667, 0.250)
Ni (0.667, 0.333, 0.750)
Sn (0.333, 0.667, 0.750)
Sn (0.667, 0.333, 0.250)
F (0.018, 0.383, 0.149)
F (0.018, 0.635, 0.351)
F (0.365, 0.383, 0.351)
F (0.365, 0.982, 0.149)
F (0.383, 0.018, 0.649)
F (0.383, 0.365, 0.851)
F (0.617, 0.635, 0.149)
F (0.617, 0.982, 0.351)
F (0.635, 0.018, 0.851)
F (0.635, 0.617, 0.649)
F (0.982, 0.365, 0.649)
F (0.982, 0.617, 0.851)

Output
Its total energy is -4.47 eV/atom. As for the symmetry: P-31c (163). As for the magnetization: 5.0 μB/cell.